# CdGaGe2

A geometry-optimized CdGaGe2 structure (GGA-PBE, Alexandria via LeMat-Bulk).

The structure belongs to space group R-3m (No. 166, hexagonal axes); the cell edges are 3.8336, 3.8336 and 24.1219 Å and the angles 90.00°, 90.00° and 120.00°. The asymmetric unit holds Cd at (0.0000, 0.0000, 0.0000), Ga at (0.0000, 0.0000, 0.5000) and Ge at (0.0000, 0.0000, 0.1115).

***

# CdGa2Ge

A geometry-optimized CdGa2Ge structure (GGA-PBE, Alexandria via LeMat-Bulk).

The structure belongs to space group P4/mmm (No. 123); the cell edges are 3.511, 3.511 and 6.576 Å and the angles 90.00°, 90.00° and 90.00°. The asymmetric unit holds Cd at (0.000, 0.000, 0.000), Ga at (0.500, 0.500, 0.273) and Ge at (0.000, 0.000, 0.500).

***

# Cd2GaGe

A geometry-optimized Cd2GaGe structure (GGA-PBE, Alexandria via LeMat-Bulk).

The structure belongs to space group Fm-3m (No. 225); the cell edges are 7.018, 7.018 and 7.018 Å and the angles 90.00°, 90.00° and 90.00°. The asymmetric unit holds Cd at (0.250, 0.250, 0.250), Ga at (0.000, 0.000, 0.000) and Ge at (0.000, 0.000, 0.500).

***

# Cd2Ga2Ge

A geometry-optimized Cd2Ga2Ge structure (GGA-PBE, Alexandria via LeMat-Bulk).

The structure belongs to space group P4/mbm (No. 127); the cell edges are 8.535, 8.535 and 2.967 Å and the angles 90.00°, 90.00° and 90.00°. The asymmetric unit holds Cd at (0.183, 0.317, 0.000), Ga at (0.116, 0.616, 0.500) and Ge at (0.000, 0.000, 0.000).

***

# Cd3Ga12Ge5

A geometry-optimized Cd3Ga12Ge5 structure (GGA-PBE, Alexandria via LeMat-Bulk).

The structure belongs to space group Ia-3d (No. 230); the cell edges are 15.427, 15.427 and 15.427 Å and the angles 90.00°, 90.00° and 90.00°. The asymmetric unit holds Cd at (0.000, 0.250, 0.125), Ga at (0.027, 0.079, 0.647), Ge at (0.000, 0.000, 0.000) and Ge at (0.000, 0.250, 0.375).

***

# Cd2GaGe

A geometry-optimized Cd2GaGe structure (GGA-PBE, Alexandria via LeMat-Bulk).

The structure belongs to space group I-42d (No. 122); the cell edges are 4.099, 4.099 and 20.958 Å and the angles 90.00°, 90.00° and 90.00°. The asymmetric unit holds Cd at (0.250, 0.250, 0.125), Ga at (0.000, 0.000, 0.000) and Ge at (0.000, 0.000, 0.500).

***

# CdGaHgGe

A geometry-optimized CdGaHgGe structure (GGA-PBE, Alexandria via LeMat-Bulk).

The structure belongs to space group F-43m (No. 216); the cell edges are 7.055, 7.055 and 7.055 Å and the angles 90.00°, 90.00° and 90.00°. The asymmetric unit holds Cd at (0.000, 0.000, 0.000), Ga at (0.000, 0.000, 0.500), Hg at (0.250, 0.250, 0.250) and Ge at (0.250, 0.250, 0.750).

***

# KCdGaGe2

A geometry-optimized KCdGaGe2 structure (GGA-PBE, Alexandria via LeMat-Bulk).

The structure belongs to space group I-4m2 (No. 119); the cell edges are 4.729, 4.729 and 10.865 Å and the angles 90.00°, 90.00° and 90.00°. The asymmetric unit holds K at (0.000, 0.000, 0.000), Cd at (0.000, 0.500, 0.750), Ga at (0.000, 0.500, 0.250) and Ge at (0.000, 0.000, 0.383).

***

What formation enthalpy at 0 K values result from the calculations? In sequence: 1.18 0.49 0.60 0.97 2.88 0.68 0.81 -0.48 eV/f.u..
What density values result from the calculations? In sequence: 5.3 6.6 7.1 6.7 5.6 6.9 8.6 5.0 g cm⁻³.